Entry from Alexandria via LeMat-Bulk: a geometry-optimized PmPr2As3Pt4 structure (PBE-GGA).

Cell lengths 4.3475, 4.3475, 11.4066 Å; angles 90.00, 90.00, 90.00 degrees
Space group P-4m2 (No. 115)
Inequivalent atoms, fractional coordinates:
1 Pm 0.0000 0.0000 0.0000
2 Pr 0.0000 0.5000 0.7129
3 As 0.0000 0.5000 0.3758
4 As 0.5000 0.5000 0.0000
5 Pt 0.0000 0.0000 0.5000
6 Pt 0.0000 0.5000 0.1614
7 Pt 0.5000 0.5000 0.5000

Computed properties:
magnetic moment = 0.000 μB/atom
final energy = -61.7 eV for the cell shown
DFT formation energy = -0.932 eV/atom